The following is a PBE calculation of crystalline Ta2B2Ru5W at its relaxed geometry, from Alexandria via LeMat-Bulk.

Values from the calculation:
Energy of formation in meV per atom: -410

Structure (extended XYZ):
```
20
Lattice="2.953 0.000 0.000 0.000 9.512 0.000 0.000 0.000 9.512" Properties=species:S:1:pos:R:3 pbc="T T T"
Ru 1.476 0.000 4.756
B 0.000 5.905 8.364
Ru 1.476 4.081 2.669
B 0.000 3.608 1.148
B 0.000 8.364 3.608
Ru 1.476 2.087 0.675
Ru 1.476 4.756 0.000
Ru 1.476 7.425 8.837
Ru 1.476 0.675 7.425
Ta 0.000 6.441 1.685
Ta 0.000 3.071 7.827
Ru 1.476 6.844 4.081
Ru 1.476 5.431 6.844
Ta 0.000 7.827 6.441
W 0.000 4.756 4.756
Ta 0.000 1.685 3.071
W 0.000 0.000 0.000
Ru 1.476 8.837 2.087
B 0.000 1.148 5.905
Ru 1.476 2.669 5.431
```